# KAl

An optimized crystal structure of KAl (PBE, Alexandria).

a b c (Å): 7.0279 7.0279 7.0487
angles (deg): 90.00 90.00 90.00
With the nearest neighbours (Å) after each atom.
Positions (direct):
1 Al 0.8707 0.8707 0.5000  1 Al 2.57
2 Al 0.1293 0.1293 0.5000  1 Al 2.57
3 Al 0.3707 0.6293 0.0000  1 Al 2.57
4 Al 0.6293 0.3707 0.0000  1 Al 2.57
5 K 0.6740 0.3260 0.5000  1 K 3.46, 4 Al 3.49-3.55
6 K 0.1740 0.1740 0.0000  1 K 3.46, 4 Al 3.49-3.55
7 K 0.3260 0.6740 0.5000  1 K 3.46, 4 Al 3.49-3.55
8 K 0.8260 0.8260 0.0000  1 K 3.46, 4 Al 3.49-3.55

## Properties
Symmetry: No. 136
DOS(E_F), states/eV/f.u.: 1.8
DFT total energy, eV/atom: -1.853

=====

# HoSI

An optimized crystal structure of HoSI (PBE, Alexandria).

a b c (Å): 4.1535 5.3359 10.3664
angles (deg): 90.00 90.00 90.00
With the nearest neighbours (Å) after each atom.
Positions (direct):
1 Ho 0.0000 0.0000 0.1093  4 S 2.71-2.73
2 Ho 0.5000 0.5000 0.8907  4 S 2.71-2.73
3 I 0.0000 0.5000 0.6762  2 Ho 3.04
4 I 0.5000 0.0000 0.3238  2 Ho 3.04
5 S 0.0000 0.5000 0.0612  4 Ho 2.71-2.73
6 S 0.5000 0.0000 0.9388  4 Ho 2.71-2.73

## Properties
Symmetry: No. 59
DOS(E_F), states/eV/f.u.: 0.0
Uncorrected formation energy, kJ per mole of atoms: -174.8
DFT total energy, eV/atom: -5.230

=====

# Ba2Ga2Sn

An optimized crystal structure of Ba2Ga2Sn (PBE, Alexandria).

a b c (Å): 7.8343 7.8343 5.2229
angles (deg): 90.00 90.00 90.00
With the nearest neighbours (Å) after each atom.
Positions (direct):
1 Ga 0.6168 0.1168 0.0000  1 Ga 2.59
2 Ga 0.3832 0.8832 0.0000  1 Ga 2.59
3 Ga 0.1168 0.3832 0.0000  1 Ga 2.59
4 Ga 0.8832 0.6168 0.0000  1 Ga 2.59
5 Sn 0.5000 0.5000 0.0000  4 Ga 3.14
6 Sn 0.0000 0.0000 0.0000  4 Ga 3.14
7 Ba 0.3120 0.1880 0.5000  6 Ga 3.39-3.58
8 Ba 0.8120 0.3120 0.5000  6 Ga 3.39-3.58
9 Ba 0.1880 0.6880 0.5000  6 Ga 3.39-3.58
10 Ba 0.6880 0.8120 0.5000  6 Ga 3.39-3.58

## Properties
Symmetry: No. 127
DOS(E_F), states/eV/f.u.: 1.6
DFT total energy, eV/atom: -3.207

=====

# KTaIn4

An optimized crystal structure of KTaIn4 (PBE, Alexandria).

a b c (Å): 5.9667 5.9667 5.9667
angles (deg): 60.00 60.00 60.00
With the nearest neighbours (Å) after each atom.
Positions (direct):
1 Ta 0.0000 0.0000 0.0000  12 In 3.50, 4 K 3.65
2 In 0.3745 0.8764 0.3745  6 In 2.97-2.99
3 In 0.3745 0.3745 0.3745  6 In 2.97-2.99
4 In 0.3745 0.3745 0.8764  6 In 2.97-2.99
5 In 0.8764 0.3745 0.3745  6 In 2.97-2.99
6 K 0.7500 0.7500 0.7500  12 In 3.50, 4 Ta 3.65

## Properties
Symmetry: No. 216
DOS(E_F), states/eV/f.u.: 4.0
DFT total energy, eV/atom: -3.450

=====

# Ta2ZnCl

An optimized crystal structure of Ta2ZnCl (PBE, Alexandria).

a b c (Å): 5.0203 5.7519 2.9971
angles (deg): 71.76 96.90 117.89
With the nearest neighbours (Å) after each atom.
Positions (direct):
1 Zn 0.0000 0.5000 0.5000  4 Cl 2.76-3.07, 4 Ta 2.80, 2 Zn 3.00
2 Ta 0.5000 0.0000 0.5000  6 Ta 2.76-3.07, 2 Zn 2.80, 2 Cl 2.80
3 Ta 0.0000 0.0000 0.0000  6 Ta 2.76-3.07, 2 Cl 2.80, 2 Zn 2.80
4 Cl 0.5000 0.5000 0.0000  4 Zn 2.76-3.07, 4 Ta 2.80, 2 Cl 3.00

## Properties
Symmetry: No. 12
DOS(E_F), states/eV/f.u.: 3.3
Uncorrected formation energy, kJ per mole of atoms: 43.2
DFT total energy, eV/atom: -6.259

=====

# K5Hg2Se4

An optimized crystal structure of K5Hg2Se4 (PBE, Alexandria).

a b c (Å): 4.8427 9.1678 9.6534
angles (deg): 104.19 104.53 90.00
With the nearest neighbours (Å) after each atom.
Positions (direct):
1 K 0.8272 0.0684 0.6543  4 Se 3.17-3.40
2 K 0.1728 0.9316 0.3457  4 Se 3.17-3.40
3 K 0.8407 0.5281 0.6814  4 Se 3.23-3.46
4 K 0.1593 0.4719 0.3186  4 Se 3.23-3.46
5 K 0.5000 0.0000 0.0000  4 Se 3.28, 2 Hg 3.62
6 Hg 0.5526 0.6464 0.1052  3 Se 2.75-2.89, 1 Hg 2.90
7 Hg 0.4474 0.3536 0.8948  3 Se 2.75-2.89, 1 Hg 2.90
8 Se 0.2954 0.2764 0.5908  1 Hg 2.75
9 Se 0.9976 0.2393 0.9953  2 Hg 2.89, 2 K 3.17-3.23
10 Se 0.7046 0.7236 0.4092  1 Hg 2.75
11 Se 0.0024 0.7607 0.0047  2 Hg 2.89, 2 K 3.17-3.23

## Properties
Symmetry: No. 12
DOS(E_F), states/eV/f.u.: 4.7
Uncorrected formation energy, kJ per mole of atoms: -76.7
DFT total energy, eV/atom: -2.616

=====

# TcPtW2

An optimized crystal structure of TcPtW2 (PBE, Alexandria).

a b c (Å): 9.5343 9.5343 9.5343
angles (deg): 16.76 16.76 16.76
With the nearest neighbours (Å) after each atom.
Positions (direct):
1 Pt 0.4995 0.4995 0.4995  6 Pt 2.78, 3 W 2.81, 3 Tc 2.83
2 Tc 0.7501 0.7501 0.7501  6 Tc 2.78, 3 W 2.80, 3 Pt 2.83
3 W 0.0023 0.0023 0.0023  9 W 2.78-2.94, 3 Tc 2.80
4 W 0.2481 0.2481 0.2481  9 W 2.78-2.94, 3 Pt 2.81

## Properties
Symmetry: No. 160
DOS(E_F), states/eV/f.u.: 4.8
DFT total energy, eV/atom: -10.454

=====

# Nd2NpCuS5

An optimized crystal structure of Nd2NpCuS5 (PBE, Alexandria).

a b c (Å): 3.9169 8.6853 11.6754
angles (deg): 90.00 90.00 103.03
With the nearest neighbours (Å) after each atom.
Positions (direct):
1 S 0.7074 0.4147 0.1761  2 Np 2.73, 2 Nd 2.94
2 S 0.0429 0.0857 0.0504  2 Cu 2.31
3 S 0.4965 0.9930 0.7726  1 Cu 2.28
4 S 0.5035 0.0070 0.2726  1 Cu 2.28
5 S 0.3585 0.7171 0.0064  1 Np 2.75, 4 Nd 2.95-2.97
6 S 0.9571 0.9143 0.5504  2 Cu 2.31
7 S 0.2926 0.5853 0.6761  2 Np 2.73, 2 Nd 2.94
8 S 0.6415 0.2829 0.5064  1 Np 2.75, 4 Nd 2.95-2.97
9 S 0.6850 0.3700 0.8519  1 Cu 2.43
10 S 0.3150 0.6300 0.3519  1 Cu 2.43
11 Nd 0.1093 0.2186 0.6889  8 S 2.90-3.11
12 Nd 0.8907 0.7814 0.1889  8 S 2.90-3.11
13 Nd 0.1216 0.2431 0.3171  6 S 2.85-2.97
14 Nd 0.8784 0.7569 0.8171  6 S 2.85-2.97
15 Cu 0.5569 0.1139 0.9469  4 S 2.28-2.43
16 Cu 0.4431 0.8861 0.4469  4 S 2.28-2.43
17 Np 0.8036 0.6073 0.5138  6 S 2.63-2.75
18 Np 0.1964 0.3927 0.0138  6 S 2.63-2.75

## Properties
Symmetry: No. 36
DOS(E_F), states/eV/f.u.: 9.6
Uncorrected formation energy, kJ per mole of atoms: -148.4
DFT total energy, eV/atom: -6.783